[1]
## P2HSBr (PBE-GGA)

Data for crystalline P2HSBr at its relaxed geometry.

Unit cell a=4.8410 b=4.8410 c=3.2894 alpha=90.00 beta=90.00 gamma=90.00
Last column: nearest neighbours and their distance in Å.
Positions (direct):
P  0.0000  0.5000  0.0000  2 H 2.42
P  0.5000  0.0000  0.0000  2 H 2.42
S  0.0000  0.0000  0.5000  2 H 1.64
Br  0.5000  0.5000  0.5000  8 P 2.93
H  0.0000  0.0000  0.0000  2 S 1.64

* space-group type: P4/mmm
* distance to the lowest polymorph of the same formula: 0.00 eV/f.u.
* raw total energy: -2.937 eV per atom
* density of states at the Fermi level: 3.5 states/eV/cell

[2]
## ZrCuPt3 (PBE-GGA)

Data for crystalline ZrCuPt3 at its relaxed geometry.

Unit cell a=4.1699 b=5.6309 c=9.2933 alpha=129.63 beta=102.96 gamma=90.00
Last column: nearest neighbours and their distance in Å.
Positions (direct):
Zr  0.6187  0.7547  0.2373  9 Pt 2.78-3.02, 3 Cu 2.79-2.92
Zr  0.3813  0.2453  0.7627  9 Pt 2.78-3.02, 3 Cu 2.79-2.92
Cu  0.8116  0.3814  0.6232  6 Pt 2.56-2.67, 2 Zr 2.79
Cu  0.1884  0.6186  0.3768  6 Pt 2.56-2.67, 2 Zr 2.79
Pt  0.9969  0.2467  0.9938  1 Cu 2.63, 7 Pt 2.76-2.90
Pt  0.0031  0.7533  0.0062  1 Cu 2.63, 7 Pt 2.76-2.90
Pt  0.3970  0.7727  0.7939  2 Cu 2.67, 2 Zr 2.79-2.85, 8 Pt 2.82-2.90
Pt  0.6030  0.2273  0.2061  2 Cu 2.67, 2 Zr 2.79-2.85, 8 Pt 2.82-2.90
Pt  0.2044  0.1872  0.4087  3 Cu 2.56-2.63, 2 Pt 2.76-2.83, 2 Zr 2.78
Pt  0.7956  0.8128  0.5913  3 Cu 2.56-2.63, 2 Pt 2.76-2.83, 2 Zr 2.78

* space-group type: C2/m
* distance to the lowest polymorph of the same formula: 0.00 eV/f.u.
* raw total energy: -6.811 eV per atom
* density of states at the Fermi level: 3.7 states/eV/cell
* DFT formation energy: -0.6576 eV/atom

[3]
## Y2In3Hg3 (PBE-GGA)

Data for crystalline Y2In3Hg3 at its relaxed geometry.

Unit cell a=4.6350 b=4.5961 c=9.1800 alpha=90.00 beta=90.00 gamma=90.00
Last column: nearest neighbours and their distance in Å.
Positions (direct):
Y  0.0000  0.0000  0.7514  6 In 3.24-3.27, 6 Hg 3.25-3.26
Y  0.0000  0.0000  0.2486  6 In 3.24-3.27, 6 Hg 3.25-3.26
In  0.5000  0.0000  0.5000  4 Hg 3.23, 4 In 3.26, 4 Y 3.27
In  0.0000  0.5000  0.0000  4 Y 3.24, 8 Hg 3.26-3.28
In  0.0000  0.5000  0.5000  4 Hg 3.24, 4 Y 3.26, 4 In 3.26
Hg  0.5000  0.5000  0.7468  6 In 3.23-3.28, 4 Y 3.26, 2 Hg 3.27
Hg  0.5000  0.5000  0.2532  6 In 3.23-3.28, 4 Y 3.26, 2 Hg 3.27
Hg  0.5000  0.0000  0.0000  4 Y 3.25, 4 In 3.26, 4 Hg 3.27

* space-group type: Pmmm
* raw total energy: -3.140 eV per atom
* density of states at the Fermi level: 4.0 states/eV/cell
* DFT formation energy: -0.3842 eV/atom

[4]
## Tl3In8Bi2 (PBE-GGA)

Data for crystalline Tl3In8Bi2 at its relaxed geometry.

Unit cell a=4.4584 b=9.1227 c=11.1085 alpha=114.24 beta=90.01 gamma=90.00
Last column: nearest neighbours and their distance in Å.
Positions (direct):
Tl  0.5000  0.0000  0.0000  8 In 3.37-3.57, 4 Tl 3.55
Tl  0.0000  0.3028  0.0000  8 In 3.43-3.74, 3 Tl 3.55-3.60
Tl  0.0000  0.6972  0.0000  8 In 3.43-3.74, 3 Tl 3.55-3.60
In  0.9999  0.3556  0.7112  4 In 3.15, 2 Bi 3.22-3.23, 2 Tl 3.43
In  0.0001  0.6444  0.2888  4 In 3.15, 2 Bi 3.22-3.23, 2 Tl 3.43
In  0.0000  0.8753  0.7506  2 Bi 3.24, 4 In 3.24, 2 Tl 3.37
In  0.0000  0.1247  0.2494  2 Bi 3.24, 4 In 3.24, 2 Tl 3.37
In  0.5000  0.8745  0.2647  4 In 3.15-3.24, 2 Bi 3.22-3.39, 2 Tl 3.51
In  0.5000  0.3902  0.2647  4 In 3.15-3.24, 2 Bi 3.22-3.39, 2 Tl 3.51
In  0.5000  0.6098  0.7353  4 In 3.15-3.24, 2 Bi 3.22-3.39, 2 Tl 3.51
In  0.5000  0.1255  0.7353  4 In 3.15-3.24, 2 Bi 3.22-3.39, 2 Tl 3.51
Bi  0.5000  0.7594  0.5189  8 In 3.22-3.39
Bi  0.5000  0.2406  0.4811  8 In 3.22-3.39

* space-group type: Cmmm
* raw total energy: -2.769 eV per atom
* density of states at the Fermi level: 5.3 states/eV/cell
* DFT formation energy: 0.0593 eV/atom

[5]
## HfTiInB2 (PBE-GGA)

Data for crystalline HfTiInB2 at its relaxed geometry.

Unit cell a=4.3129 b=4.9902 c=4.3129 alpha=90.00 beta=90.00 gamma=90.00
Last column: nearest neighbours and their distance in Å.
Positions (direct):
B  0.0000  0.0000  0.5000  2 In 2.16
B  0.5000  0.0000  0.0000  2 In 2.16
Ti  0.0000  0.5000  0.0000  2 In 2.50
Hf  0.5000  0.5000  0.5000  4 Ti 3.05, 8 B 3.30
In  0.0000  0.0000  0.0000  4 B 2.16

* space-group type: P4/mmm
* distance to the lowest polymorph of the same formula: 2.05 eV/f.u.
* raw total energy: -4.985 eV per atom
* density of states at the Fermi level: 5.4 states/eV/cell
* DFT formation energy: 1.8030 eV/atom

[6]
## CeBi5Rh3 (PBE-GGA)

Data for crystalline CeBi5Rh3 at its relaxed geometry.

Unit cell a=7.5803 b=7.5803 c=9.8366 alpha=72.77 beta=72.77 gamma=72.33
Last column: nearest neighbours and their distance in Å.
Positions (direct):
Ce  0.1013  0.1013  0.6963  2 Rh 2.42-2.65
Ce  0.8987  0.8987  0.3037  2 Rh 2.42-2.65
Bi  0.9414  0.3531  0.3018  3 Rh 2.75-2.82
Bi  0.3032  0.6968  0.0000  3 Rh 2.71-2.76
Bi  0.7684  0.7684  0.0388  3 Rh 2.66-2.81
Bi  0.4308  0.4308  0.3619  2 Rh 2.68-2.71
Bi  0.5692  0.5692  0.6381  2 Rh 2.68-2.71
Bi  0.2316  0.2316  0.9612  3 Rh 2.66-2.81
Bi  0.3531  0.9414  0.3018  3 Rh 2.75-2.82
Bi  0.6968  0.3032  0.0000  3 Rh 2.71-2.76
Bi  0.0586  0.6469  0.6982  3 Rh 2.75-2.82
Bi  0.6469  0.0586  0.6982  3 Rh 2.75-2.82
Rh  0.6719  0.6719  0.8368  6 Bi 2.66-2.82
Rh  0.6909  0.6909  0.3458  1 Ce 2.42, 1 Bi 2.71
Rh  0.0000  0.0000  0.0000  4 Bi 2.71-2.72, 2 Ce 2.78
Rh  0.0000  0.0000  0.5000  2 Ce 2.65, 4 Bi 2.80
Rh  0.3281  0.3281  0.1632  6 Bi 2.66-2.82
Rh  0.3091  0.3091  0.6542  1 Ce 2.42, 1 Bi 2.71

* space-group type: C2/m
* raw total energy: -5.492 eV per atom
* density of states at the Fermi level: 13.8 states/eV/cell
* DFT formation energy: -0.2260 eV/atom